VASP calculation (PBE) on MgZr2P after structural relaxation.

Lattice parameters (Å, degrees): 3.458 3.458 6.414 90.00 90.00 90.00
Space group P4/mmm (No. 123)
Asymmetric unit:
Mg 0.000 0.000 0.000
Zr 0.500 0.500 0.277
P 0.000 0.000 0.500

Summary:
energy relative to the elements: -0.473 eV per atom